No. 1
Below is a relaxed structure of Np3P4Rh7, with properties calculated at the PBE-GGA level.

Calculated values
DOS at the Fermi energy	33.6	states/eV/cell
SG	C2/m
calculated formation energy	-10.482	eV per formula unit
total magnetic moment	9.84	μB per formula unit

a = 3.926 Å, b = 7.751 Å, c = 8.116 Å
α = 72.04°, β = 76.00°, γ = 75.33°
Positions (direct):
Rh: 0.000 0.000 0.000
P: 0.661 0.443 0.235
Rh: 0.831 0.410 0.928
P: 0.893 0.885 0.330
Rh: 0.506 0.769 0.219
Rh: 0.169 0.590 0.072
Rh: 0.494 0.231 0.781
Np: 0.323 0.178 0.176
Rh: 0.698 0.147 0.456
Rh: 0.302 0.853 0.544
P: 0.107 0.115 0.670
Np: 0.000 0.500 0.500
Np: 0.677 0.822 0.824
P: 0.339 0.557 0.765

No. 2
Below is a relaxed structure of SrAgPbI5, with properties calculated at the PBE-GGA level.

Calculated values
DOS at the Fermi energy	0.0	states/eV/cell
SG	C2/c
calculated total energy	-2.8600	eV per atom
total magnetic moment	0.00	μB per formula unit

a = 8.512 Å, b = 8.512 Å, c = 11.974 Å
α = 106.56°, β = 106.56°, γ = 104.66°
Positions (direct):
I: 0.646 0.025 0.319
I: 0.620 0.697 0.948
I: 0.380 0.303 0.052
Sr: 0.000 0.000 0.500
I: 0.025 0.646 0.819
Pb: 0.364 0.636 0.250
I: 0.303 0.380 0.552
I: 0.887 0.113 0.750
Ag: 0.678 0.322 0.250
I: 0.975 0.354 0.181
I: 0.113 0.887 0.250
Pb: 0.636 0.364 0.750
Ag: 0.322 0.678 0.750
I: 0.354 0.975 0.681
I: 0.697 0.620 0.448
Sr: 0.000 0.000 0.000

No. 3
Below is a relaxed structure of CuMo3I, with properties calculated at the PBE-GGA level.

Calculated values
DOS at the Fermi energy	4.6	states/eV/cell
SG	Pm-3m
energy above the most stable polymorph in this dataset	0.485	eV per atom
total magnetic moment	0.00	μB per formula unit

a = 4.852 Å, b = 4.852 Å, c = 4.852 Å
α = 90.00°, β = 90.00°, γ = 90.00°
Positions (direct):
Mo: 0.000 0.500 0.000
I: 0.000 0.000 0.000
Mo: 0.000 0.000 0.500
Mo: 0.500 0.000 0.000
Cu: 0.500 0.500 0.500